PrCoSn2 | Alexandria via LeMat-Bulk | PBE-GGA | relaxed; VASP energy = -86.9 eV for the cell shown; crystal system = orthorhombic; ρ = 7.75 g/cm³; SG = Pnma, No. 62; ΔH_f (0 K) = -10.6 kcal/mol of atoms
1.0
7.4166 0.0000 0.0000
0.0000 4.5340 0.0000
0.0000 0.0000 11.1405
Pr Co Sn
4 4 8
Cartesian
1.4320 1.1335 1.4944
2.2763 3.4005 7.0647
5.1403 1.1335 4.0759
5.9847 3.4005 9.6462
0.1667 3.4005 4.0376
3.5416 1.1335 9.6078
3.8750 3.4005 1.5327
7.2499 1.1335 7.1030
0.9605 1.1335 9.2956
1.0516 1.1335 4.8782
2.6567 3.4005 10.4485
2.7479 3.4005 3.7254
4.6688 1.1335 7.4152
4.7599 1.1335 0.6921
6.3650 3.4005 6.2623
6.4562 3.4005 1.8449

***

Ti4RePd3 | Alexandria via LeMat-Bulk | PBE-GGA | relaxed; VASP energy = -63.7 eV for the cell shown; crystal system = tetragonal; ρ = 9.15 g/cm³; SG = P4/mmm, No. 123; ΔH_f (0 K) = -11.8 kcal/mol of atoms
1.0
3.0806 0.0000 0.0000
0.0000 3.0806 0.0000
0.0000 0.0000 13.3275
Ti Re Pd
4 1 3
Cartesian
0.0000 0.0000 1.5155
0.0000 0.0000 4.9402
0.0000 0.0000 8.3873
0.0000 0.0000 11.8119
1.5403 1.5403 0.0000
1.5403 1.5403 3.2067
1.5403 1.5403 6.6637
1.5403 1.5403 10.1208

***

NdMg2Cd9 | Alexandria via LeMat-Bulk | PBE-GGA | relaxed; VASP energy = -35.7 eV for the cell shown; energy above the most stable polymorph in this dataset = 0.0000 eV per atom; crystal system = tetragonal; ρ = 7.29 g/cm³; SG = I4_1/amd, No. 141; ΔH_f (0 K) = -3.2 kcal/mol of atoms
1.0
-5.9467 5.9467 3.8818
5.9467 -5.9467 3.8818
5.9467 5.9467 -3.8818
Nd Mg Cd
2 4 18
Cartesian
5.9467 2.9734 0.9704
0.0000 2.9734 2.9113
0.0000 0.0000 0.0000
2.9734 2.9734 -1.9409
2.9734 -2.9734 1.9409
0.0000 5.9467 0.0000
5.9467 -2.9734 2.9113
4.5133 -0.5611 1.3410
7.3802 -0.5611 1.3410
2.4123 1.5399 0.5999
9.4812 1.5399 0.5999
4.5133 5.3856 -1.3410
1.4335 -0.5611 2.5408
2.4123 4.4069 0.5999
3.5345 -1.5399 4.4816
2.4123 7.4866 -0.5999
3.5345 1.5399 3.2819
4.5133 6.5079 1.3410
1.4335 0.5611 5.2228
-3.5345 4.4069 3.2819
3.5345 4.4069 3.2819
-1.4335 6.5079 2.5408
1.4335 6.5079 2.5408
0.0000 8.9201 0.9704

***

Dy2UC3 | Alexandria via LeMat-Bulk | PBE-GGA | relaxed; VASP energy = -99.8 eV for the cell shown; energy above the most stable polymorph in this dataset = 0.0000 eV per atom; crystal system = monoclinic; ρ = 10.31 g/cm³; SG = C2/m, No. 12; ΔH_f (0 K) = -6.6 kcal/mol of atoms
1.0
3.1024 -5.3727 0.0000
3.1024 5.3727 0.0000
-2.0699 0.0000 5.7872
Dy U C
4 2 6
Cartesian
0.0000 0.0000 0.0000
2.0674 3.5952 2.8936
2.0674 0.0000 2.8936
2.0674 -3.5952 2.8936
3.1024 1.7955 0.0000
3.1024 -1.7955 0.0000
1.1076 1.9221 1.2822
0.1427 0.0000 4.4814
1.1076 -1.9221 1.2822
3.0272 1.9221 4.5050
3.9922 0.0000 1.3058
3.0272 -1.9221 4.5050

***

La2CuGe3Pt4 | Alexandria via LeMat-Bulk | PBE-GGA | relaxed; VASP energy = -61.0 eV for the cell shown; crystal system = tetragonal; ρ = 11.36 g/cm³; SG = P-4m2, No. 115; ΔH_f (0 K) = -20.9 kcal/mol of atoms
1.0
4.4013 0.0000 0.0000
0.0000 4.4013 0.0000
0.0000 0.0000 10.1108
La Cu Ge Pt
2 1 3 4
Cartesian
0.0000 2.2007 2.4242
2.2007 0.0000 7.6866
2.2007 2.2007 0.0000
0.0000 0.0000 0.0000
0.0000 2.2007 6.3614
2.2007 0.0000 3.7494
0.0000 0.0000 5.0554
0.0000 2.2007 8.8231
2.2007 0.0000 1.2878
2.2007 2.2007 5.0554

***

Na2TcS | Alexandria via LeMat-Bulk | PBE-GGA | relaxed; VASP energy = -32.7 eV for the cell shown; formation energy without anion corrections = 198 meV per atom; crystal system = tetragonal; ρ = 2.58 g/cm³; SG = I-42d, No. 122
1.0
-5.0572 5.0572 2.2165
5.0572 -5.0572 2.2165
5.0572 5.0572 -2.2165
Na Tc S
4 2 2
Cartesian
1.0192 2.5286 0.5541
-2.5286 4.0380 1.6624
-1.0192 7.5858 0.5541
2.5286 6.0764 1.6624
5.0572 0.0000 1.1083
0.0000 0.0000 2.2165
0.0000 0.0000 0.0000
0.0000 5.0572 1.1083

***

DyUMn2 | Alexandria via LeMat-Bulk | PBE-GGA | relaxed; VASP energy = -33.8 eV for the cell shown; crystal system = tetragonal; ρ = 11.49 g/cm³; SG = P4/mmm, No. 123; ΔH_f (0 K) = 2.3 kcal/mol of atoms
1.0
3.2725 0.0000 0.0000
0.0000 3.2725 0.0000
0.0000 0.0000 6.8859
Dy U Mn
1 1 2
Cartesian
0.0000 0.0000 0.0000
0.0000 0.0000 3.4429
1.6362 1.6362 2.1134
1.6362 1.6362 4.7725